! LiYPb | the Alexandria database | GGA-PBE | relaxed; values from VASP
! DFT formation energy ... -235 meV/atom
! Density ... 6.69 g cm⁻³
! N(E_F) ... 0.74 states/eV/atom
! SG ... I4mm
&SYSTEM
  ibrav = 0, nat = 3, ntyp = 3
/
ATOMIC_SPECIES
Li 6.94 Li.upf
Y 88.91 Y.upf
Pb 207.20 Pb.upf
CELL_PARAMETERS angstrom
-1.806 1.806 5.767
1.806 -1.806 5.767
1.806 1.806 -5.767
ATOMIC_POSITIONS angstrom
Li 0.000 0.000 0.000
Y 0.000 0.000 7.960
Pb 0.000 0.000 4.369

=====

! TiNb2Zn | the Alexandria database | GGA-PBE | relaxed; values from VASP
! DFT formation energy ... 6 meV/atom
! Density ... 7.36 g cm⁻³
! N(E_F) ... 1.14 states/eV/atom
! SG ... P4/mmm
&SYSTEM
  ibrav = 0, nat = 4, ntyp = 3
/
ATOMIC_SPECIES
Ti 47.87 Ti.upf
Nb 92.91 Nb.upf
Zn 65.41 Zn.upf
CELL_PARAMETERS angstrom
3.387 0.000 0.000
0.000 3.387 0.000
0.000 0.000 5.880
ATOMIC_POSITIONS angstrom
Ti 0.000 0.000 0.000
Nb 1.694 1.694 1.479
Nb 1.694 1.694 4.401
Zn 0.000 0.000 2.940

=====

Values of energy, in order: -4.26, -7.32, all in eV per atom.